The following is a DFT calculation (GGA-PBEsol) of a geometry-optimized LaPRu3 structure.

Computed properties:
Formation enthalpy at 0 K ... -1.172 eV per formula unit

a = 4.420 Å, b = 4.420 Å, c = 4.420 Å
α = 90.00°, β = 90.00°, γ = 90.00°
Sites, in units of the cell vectors:
Ru: 0.500 0.000 0.000
Ru: 0.000 0.000 0.500
Ru: 0.000 0.500 0.000
P: 0.000 0.000 0.000
La: 0.500 0.500 0.500

The following is a DFT calculation (GGA-PBEsol) of a geometry-optimized ZnSiOs structure.

Computed properties:
VASP energy ... -6.746 eV/atom

a = 3.087 Å, b = 3.087 Å, c = 4.658 Å
α = 109.35°, β = 109.35°, γ = 90.00°
Sites, in units of the cell vectors:
Zn: 0.330 0.330 0.659
Os: 0.012 0.012 0.023
Si: 0.659 0.659 0.318

The following is a DFT calculation (GGA-PBEsol) of a geometry-optimized YCrHS2 structure.

Computed properties:
VASP energy ... -5.004 eV/atom

a = 5.122 Å, b = 5.122 Å, c = 5.989 Å
α = 90.00°, β = 90.00°, γ = 90.00°
Sites, in units of the cell vectors:
S: 0.000 0.500 0.000
S: 0.500 0.000 0.000
Y: 0.000 0.000 0.000
H: 0.500 0.500 0.500
Cr: 0.000 0.000 0.500

- Number 2 is which compound?
  ZnSiOs